A relaxed BaSc2Ru crystal. Source: the Alexandria database, functional PBE.

POSCAR file:
```
BaSc2Ru
1.0
7.224 -0.002 -0.004
-2.731 4.363 -0.008
1.763 1.112 2.900
Ba Ru Sc
1 1 2
Direct
0.000 0.500 0.500
0.500 0.500 0.000
0.000 0.000 0.000
0.500 0.000 0.500
```

ΔE_f (eV per atom): 0.471
N(E_F) (states/eV per atom): 0.6148
Distance to the lowest polymorph of the same formula (eV/f.u.): 2.56